# PuCrBi2O8, relaxed, DFT PBE with a Hubbard U
# calculated total energy	-89.5	eV per cell
# magnetization	3.966	μB per cell
# N(E_F)	0.13	states/eV/atom
data_PuCrBi2O8
_chemical_formula_sum 'Pu1 Cr1 Bi2 O8'
_cell_length_a 5.150
_cell_length_b 6.687
_cell_length_c 5.151
_cell_angle_alpha 90.00
_cell_angle_beta 90.99
_cell_angle_gamma 90.00
_symmetry_space_group_name_H-M 'P 1 2/m 1'
_symmetry_Int_Tables_number 10
loop_
_symmetry_equiv_pos_as_xyz
'x,y,z'
'-x,-y,-z'
'-x,y,-z'
'x,-y,z'
loop_
_atom_site_label
_atom_site_type_symbol
_atom_site_fract_x
_atom_site_fract_y
_atom_site_fract_z
Pu1 Pu 0.000 0.000 0.000
Cr1 Cr 0.000 0.500 0.000
Bi1 Bi 0.500 0.263 0.500
O1 O 0.176 0.249 0.826
O2 O 0.267 0.000 0.270
O3 O 0.284 0.500 0.286